Crystalline K2CeScSe4 at its relaxed geometry, computed with PBE.

Output
- energy relative to the elements, uncorrected (eV per atom) = -1.63
- VASP energy (eV/atom) = -5.183

a b c (Å): 4.2015 7.2649 8.0287
angles (deg): 107.47 90.00 90.00
Each line ends with the local moment (μB).
Fractional positions:
1 K 0.5000 0.0000 0.5000  0.00
2 K 0.0000 0.5000 0.5000  0.00
3 Se 0.0000 0.7532 0.2061  -0.01
4 Se 0.5000 0.7834 0.8020  -0.01
5 Se 0.0000 0.2468 0.7939  -0.01
6 Se 0.5000 0.2166 0.1980  -0.01
7 Ce 0.5000 0.5000 0.0000  0.91
8 Sc 0.0000 0.0000 0.0000  0.06